Cd3FeP PBE-GGA relaxed; ΔH_f (0 K) = 0.9020 eV per atom; E_tot = -2.422 eV per atom; ΔE to the lowest computed polymorph = 0.003 eV/atom; crystal system = cubic
1.0
4.992 0.000 0.000
0.000 4.992 0.000
0.000 0.000 4.992
P Fe Cd
1 1 3
Direct
0.500 0.500 0.500
0.000 0.000 0.000
0.000 0.500 0.000
0.000 0.000 0.500
0.500 0.000 0.000

***

CeNd2Sb2 PBE-GGA relaxed; E_tot = -5.565 eV per atom; crystal system = orthorhombic
1.0
-1.148 4.363 4.400
-0.351 -6.320 6.176
6.625 1.574 -4.345
Sb Ce Nd
4 2 4
Direct
0.388 0.671 0.776
0.112 0.895 0.224
0.888 0.105 0.776
0.612 0.329 0.224
0.750 0.500 0.000
0.250 0.500 0.000
0.852 0.711 0.703
0.148 0.289 0.297
0.352 0.992 0.703
0.648 0.008 0.297

***

Er3Si2GeRh9 PBE-GGA relaxed; E_tot = -6.927 eV per atom; crystal system = trigonal
1.0
-5.387 3.291 0.754
1.292 -4.904 3.834
3.595 4.766 4.885
Rh Si Er Ge
9 2 3 1
Direct
0.345 0.172 0.668
0.000 0.500 0.000
0.828 0.172 0.668
0.655 0.828 0.332
0.828 0.655 0.668
0.500 0.000 0.000
0.172 0.828 0.332
0.172 0.345 0.332
0.500 0.500 0.000
0.667 0.333 0.840
0.333 0.667 0.160
0.000 0.000 0.000
0.333 0.667 0.666
0.667 0.333 0.334
0.000 0.000 0.500

***

What did the first record say?
Cd3FeP PBE-GGA relaxed; ΔH_f (0 K) = 0.9020 eV per atom; E_tot = -2.422 eV per atom; ΔE to the lowest computed polymorph = 0.003 eV/atom; crystal system = cubic
1.0
4.992 0.000 0.000
0.000 4.992 0.000
0.000 0.000 4.992
P Fe Cd
1 1 3
Direct
0.500 0.500 0.500
0.000 0.000 0.000
0.000 0.500 0.000
0.000 0.000 0.500
0.500 0.000 0.000

***

Question: What is the formula in the first record?
Answer: Cd3FeP

***

Repeat the second record exactly.
CeNd2Sb2 PBE-GGA relaxed; E_tot = -5.565 eV per atom; crystal system = orthorhombic
1.0
-1.148 4.363 4.400
-0.351 -6.320 6.176
6.625 1.574 -4.345
Sb Ce Nd
4 2 4
Direct
0.388 0.671 0.776
0.112 0.895 0.224
0.888 0.105 0.776
0.612 0.329 0.224
0.750 0.500 0.000
0.250 0.500 0.000
0.852 0.711 0.703
0.148 0.289 0.297
0.352 0.992 0.703
0.648 0.008 0.297

***

Question: Look up the E_tot of the second one.
Answer: -5.565 eV per atom